[1]
Entry from Alexandria via LeMat-Bulk: crystalline BaLiTa at its relaxed geometry (GGA-PBE).

Values from the calculation:
- DOS(E_F): 3.84 states/eV/f.u.
- Total energy: -3.89 eV per atom
- Energy relative to the elements: 1.3435 eV per atom
- Crystal system: tetragonal
- Energy relative to the lowest polymorph listed for this composition: 915 meV per atom
- Symmetry: P4/nmm, No. 129

```
data_BaLiTa
_chemical_formula_sum 'Ba2 Li2 Ta2'
_cell_length_a 4.130
_cell_length_b 4.130
_cell_length_c 9.207
_cell_angle_alpha 90.00
_cell_angle_beta 90.00
_cell_angle_gamma 90.00
_symmetry_space_group_name_H-M 'P 1'
_symmetry_Int_Tables_number 1
loop_
_symmetry_equiv_pos_as_xyz
'x,y,z'
loop_
_atom_site_label
_atom_site_fract_x
_atom_site_fract_y
_atom_site_fract_z
Li1 0.000 0.500 0.213
Li2 0.500 0.000 0.787
Ba1 0.000 0.000 0.500
Ba2 0.500 0.500 0.500
Ta1 0.000 0.500 0.939
Ta2 0.500 0.000 0.061
```

***

[2]
Entry from Alexandria via LeMat-Bulk: crystalline BaLi2Ta at its relaxed geometry (GGA-PBE).

Values from the calculation:
- DOS(E_F): 4.07 states/eV/f.u.
- Total energy: -3.49 eV per atom
- Energy relative to the elements: 0.9108 eV per atom
- Crystal system: orthorhombic
- Energy relative to the lowest polymorph listed for this composition: 246 meV per atom
- Symmetry: Pmmm, No. 47

```
data_BaLi2Ta
_chemical_formula_sum 'Ba1 Li2 Ta1'
_cell_length_a 3.228
_cell_length_b 5.441
_cell_length_c 5.629
_cell_angle_alpha 90.00
_cell_angle_beta 90.00
_cell_angle_gamma 90.00
_symmetry_space_group_name_H-M 'P 1'
_symmetry_Int_Tables_number 1
loop_
_symmetry_equiv_pos_as_xyz
'x,y,z'
loop_
_atom_site_label
_atom_site_fract_x
_atom_site_fract_y
_atom_site_fract_z
Ba1 0.000 0.500 0.500
Li1 0.000 0.000 0.000
Li2 0.500 0.500 0.000
Ta1 0.500 0.000 0.500
```

***

[3]
Entry from Alexandria via LeMat-Bulk: crystalline BaLiTa at its relaxed geometry (GGA-PBE).

Values from the calculation:
- DOS(E_F): 3.88 states/eV/f.u.
- Total energy: -3.73 eV per atom
- Energy relative to the elements: 1.4973 eV per atom
- Crystal system: cubic
- Energy relative to the lowest polymorph listed for this composition: 1069 meV per atom
- Symmetry: F-43m, No. 216

```
data_BaLiTa
_chemical_formula_sum 'Ba1 Li1 Ta1'
_cell_length_a 5.155
_cell_length_b 5.155
_cell_length_c 5.155
_cell_angle_alpha 60.00
_cell_angle_beta 60.00
_cell_angle_gamma 60.00
_symmetry_space_group_name_H-M 'P 1'
_symmetry_Int_Tables_number 1
loop_
_symmetry_equiv_pos_as_xyz
'x,y,z'
loop_
_atom_site_label
_atom_site_fract_x
_atom_site_fract_y
_atom_site_fract_z
Ba1 0.500 0.500 0.500
Li1 0.750 0.750 0.750
Ta1 0.000 0.000 0.000
```

***

[4]
Entry from Alexandria via LeMat-Bulk: crystalline BaLiTa at its relaxed geometry (GGA-PBE).

Values from the calculation:
- DOS(E_F): 1.85 states/eV/f.u.
- Total energy: -4.77 eV per atom
- Energy relative to the elements: 0.4594 eV per atom
- Crystal system: orthorhombic
- Energy relative to the lowest polymorph listed for this composition: 31 meV per atom
- Symmetry: Pmm2, No. 25

```
data_BaLiTa
_chemical_formula_sum 'Ba2 Li2 Ta2'
_cell_length_a 3.910
_cell_length_b 3.589
_cell_length_c 12.523
_cell_angle_alpha 90.00
_cell_angle_beta 90.00
_cell_angle_gamma 90.00
_symmetry_space_group_name_H-M 'P 1'
_symmetry_Int_Tables_number 1
loop_
_symmetry_equiv_pos_as_xyz
'x,y,z'
loop_
_atom_site_label
_atom_site_fract_x
_atom_site_fract_y
_atom_site_fract_z
Li1 0.000 0.500 0.560
Li2 0.500 0.000 0.522
Ba1 0.500 0.500 0.981
Ba2 0.000 0.500 0.287
Ta1 0.500 0.500 0.711
Ta2 0.000 0.000 0.774
```

***

[5]
Entry from Alexandria via LeMat-Bulk: crystalline BaLiTa2 at its relaxed geometry (GGA-PBE).

Values from the calculation:
- DOS(E_F): 3.75 states/eV/f.u.
- Total energy: -6.00 eV per atom
- Energy relative to the elements: 0.8814 eV per atom
- Crystal system: monoclinic
- Energy relative to the lowest polymorph listed for this composition: 321 meV per atom
- Symmetry: P2/m, No. 10

```
data_BaLiTa2
_chemical_formula_sum 'Ba1 Li1 Ta2'
_cell_length_a 5.713
_cell_length_b 3.107
_cell_length_c 5.251
_cell_angle_alpha 79.41
_cell_angle_beta 90.00
_cell_angle_gamma 90.00
_symmetry_space_group_name_H-M 'P 1'
_symmetry_Int_Tables_number 1
loop_
_symmetry_equiv_pos_as_xyz
'x,y,z'
loop_
_atom_site_label
_atom_site_fract_x
_atom_site_fract_y
_atom_site_fract_z
Ba1 0.500 0.250 0.250
Li1 0.500 0.750 0.750
Ta1 0.000 0.958 0.972
Ta2 0.000 0.542 0.528
```

***

[6]
Entry from Alexandria via LeMat-Bulk: crystalline Ba2LiTa at its relaxed geometry (GGA-PBE).

Values from the calculation:
- DOS(E_F): 5.83 states/eV/f.u.
- Total energy: -3.61 eV per atom
- Energy relative to the elements: 0.7952 eV per atom
- Crystal system: tetragonal
- Energy relative to the lowest polymorph listed for this composition: 14 meV per atom
- Symmetry: P4mm, No. 99

```
data_Ba2LiTa
_chemical_formula_sum 'Ba2 Li1 Ta1'
_cell_length_a 3.656
_cell_length_b 3.656
_cell_length_c 9.727
_cell_angle_alpha 90.00
_cell_angle_beta 90.00
_cell_angle_gamma 90.00
_symmetry_space_group_name_H-M 'P 1'
_symmetry_Int_Tables_number 1
loop_
_symmetry_equiv_pos_as_xyz
'x,y,z'
loop_
_atom_site_label
_atom_site_fract_x
_atom_site_fract_y
_atom_site_fract_z
Ba1 0.000 0.000 0.932
Ba2 0.500 0.500 0.324
Li1 0.000 0.000 0.560
Ta1 0.500 0.500 0.683
```

***

[7]
Entry from Alexandria via LeMat-Bulk: crystalline BaLiTa2 at its relaxed geometry (GGA-PBE).

Values from the calculation:
- DOS(E_F): 3.06 states/eV/f.u.
- Total energy: -6.06 eV per atom
- Energy relative to the elements: 0.8233 eV per atom
- Crystal system: monoclinic
- Energy relative to the lowest polymorph listed for this composition: 263 meV per atom
- Symmetry: C2/m, No. 12

```
data_BaLiTa2
_chemical_formula_sum 'Ba1 Li1 Ta2'
_cell_length_a 6.595
_cell_length_b 6.595
_cell_length_c 4.911
_cell_angle_alpha 67.98
_cell_angle_beta 67.98
_cell_angle_gamma 26.96
_symmetry_space_group_name_H-M 'P 1'
_symmetry_Int_Tables_number 1
loop_
_symmetry_equiv_pos_as_xyz
'x,y,z'
loop_
_atom_site_label
_atom_site_fract_x
_atom_site_fract_y
_atom_site_fract_z
Ba1 0.750 0.750 0.750
Li1 0.250 0.250 0.250
Ta1 0.973 0.973 0.027
Ta2 0.527 0.527 0.473
```

***

[8]
Entry from Alexandria via LeMat-Bulk: crystalline Ba2LiTa at its relaxed geometry (GGA-PBE).

Values from the calculation:
- DOS(E_F): 4.08 states/eV/f.u.
- Total energy: -3.57 eV per atom
- Energy relative to the elements: 0.8371 eV per atom
- Crystal system: trigonal
- Energy relative to the lowest polymorph listed for this composition: 56 meV per atom
- Symmetry: R-3m, No. 166

```
data_Ba2LiTa
_chemical_formula_sum 'Ba2 Li1 Ta1'
_cell_length_a 12.116
_cell_length_b 12.116
_cell_length_c 12.116
_cell_angle_alpha 16.78
_cell_angle_beta 16.78
_cell_angle_gamma 16.78
_symmetry_space_group_name_H-M 'P 1'
_symmetry_Int_Tables_number 1
loop_
_symmetry_equiv_pos_as_xyz
'x,y,z'
loop_
_atom_site_label
_atom_site_fract_x
_atom_site_fract_y
_atom_site_fract_z
Ba1 0.007 0.007 0.007
Ba2 0.493 0.493 0.493
Li1 0.250 0.250 0.250
Ta1 0.750 0.750 0.750
```